The following is a DFT calculation (GGA+U) of a relaxed Fe4OF7 crystal.

The structure in CIF format:
```
data_Fe4OF7
_chemical_formula_sum 'Fe16 O4 F28'
_cell_length_a 6.5134
_cell_length_b 19.2417
_cell_length_c 5.7906
_cell_angle_alpha 90.00
_cell_angle_beta 124.13
_cell_angle_gamma 90.00
_symmetry_space_group_name_H-M 'C 1 c 1'
_symmetry_Int_Tables_number 9
_symmetry_space_group_name_Hall 'C -2yc'
loop_
_atom_site_label
_atom_site_type_symbol
_atom_site_fract_x
_atom_site_fract_y
_atom_site_fract_z
_atom_site_occupancy
Fe1 Fe 0.0000 0.0655 0.0000 1
Fe2 Fe 0.0143 0.3127 0.9822 1
Fe3 Fe 0.0201 0.4332 0.4837 1
Fe4 Fe 0.4983 0.3143 0.9558 1
O1 O 0.3687 0.3895 0.6669 1
F1 F 0.1432 0.2626 0.7611 1
F2 F 0.1505 0.0140 0.7909 1
F3 F 0.1714 0.4867 0.2698 1
F4 F 0.1716 0.2395 0.2818 1
F5 F 0.3429 0.1083 0.1818 1
F6 F 0.3591 0.1384 0.6797 1
F7 F 0.3609 0.3673 0.1768 1
```

## Properties
DFT total energy, eV/atom: -5.6621
Crystal system: monoclinic
Distance to the lowest polymorph of the same formula, meV per atom: 7